Entry 1:
NaBeReOs2: relaxed, PBE.

```
NaBeReOs2
1.0
4.5429 0.0000 0.0000
0.0000 3.6083 0.0000
0.0000 0.0000 4.5429
Os Be Na Re
2 1 1 1
Cartesian
2.2715 0.0000 0.0000
0.0000 0.0000 2.2715
0.0000 1.8041 0.0000
0.0000 0.0000 0.0000
2.2715 1.8041 2.2715
```

Formation energy, eV per atom: 2.59

Entry 2:
NaBe2OsS: relaxed, PBE.

```
NaBe2OsS
1.0
-3.0904 -2.6216 -1.2094
0.9992 -2.6333 3.1549
-3.4808 2.5954 3.2686
Be Os S Na
2 1 1 1
Cartesian
0.4996 -1.3167 1.5775
-1.5452 -1.3108 -0.6047
0.0000 0.0000 0.0000
-2.7860 -1.3298 2.6071
-1.7404 1.2977 1.6343
```

Uncorrected formation energy, kJ/mol of atoms: 111.1

Entry 3:
Na2SrBeOs: relaxed, PBE.

```
Na2SrBeOs
1.0
-1.5489 -4.3060 2.1199
4.2523 -1.0245 1.0260
-0.4999 2.3602 4.4288
Na Os Sr Be
2 1 1 1
Cartesian
-0.7745 -2.1530 1.0599
-0.2500 1.1801 2.2144
2.1262 -0.5123 0.5130
1.1017 -1.4852 3.7873
0.0000 0.0000 0.0000
```

Formation energy, eV per atom: 0.67

Entry 4:
Na2BeTcOs: relaxed, PBE.

```
Na2BeTcOs
1.0
-0.0576 -3.8750 -2.2763
-0.3068 -2.2678 3.8683
-4.3662 0.1996 -0.2293
Tc Os Na Be
1 1 2 1
Cartesian
-2.3653 -2.9716 0.6813
-2.1831 0.0998 -0.1147
-0.0288 -1.9375 -1.1382
-0.1534 -1.1339 1.9341
0.0000 0.0000 0.0000
```

Formation energy, eV per atom: 1.49

Entry 5:
NaBe2OsW: relaxed, PBE.

```
NaBe2OsW
1.0
4.4568 0.0000 0.0000
0.0000 4.7847 0.0000
0.0000 0.0000 4.4568
Be Os Na W
2 1 1 1
Cartesian
0.0000 0.0000 2.2284
2.2284 0.0000 0.0000
0.0000 0.0000 0.0000
2.2284 2.3923 2.2284
0.0000 2.3923 0.0000
```

Formation energy, eV per atom: 1.02

Entry 6:
NaZrBeOs2: relaxed, PBE.

```
NaZrBeOs2
1.0
4.6738 0.0000 0.0000
0.0000 3.7644 0.0000
0.0000 0.0000 4.6738
Na Os Be Zr
1 2 1 1
Cartesian
0.0000 0.0000 0.0000
0.0000 0.0000 2.3369
2.3369 0.0000 0.0000
0.0000 1.8822 0.0000
2.3369 1.8822 2.3369
```

Formation energy, eV per atom: 1.72

Entry 7:
NaBeP: relaxed, PBE.

```
NaBeP
1.0
-2.1155 0.9663 4.1833
2.1546 -2.4531 1.6562
5.0288 4.3884 -0.0421
Be P Na
2 2 2
Cartesian
3.3616 4.3598 4.1076
1.7063 -1.4583 1.6897
1.2518 0.5542 1.2155
3.8160 2.3473 4.5819
1.7728 0.2674 4.1593
3.2950 2.6341 1.6381
```

Formation energy, eV per atom: -0.40

Entry 8:
NaBe3P: relaxed, PBE.

```
NaBe3P
1.0
-0.0145 0.0372 -4.3887
-2.5231 -3.5911 -0.0222
-3.5911 2.5230 0.0332
Be P Na
3 1 1
Cartesian
-0.0072 0.0186 -2.1944
-1.2616 -1.7955 -0.0111
-1.7955 1.2615 0.0166
-3.0644 -0.5154 -2.1888
0.0000 0.0000 0.0000
```

E above lowest polymorph, eV/atom: 1.250
Formation energy, eV per atom: 1.99

Entry 9:
Na3BeP: relaxed, PBE.

```
Na3BeP
1.0
-4.5968 -0.7634 2.7598
1.1110 -5.2863 0.3882
2.6392 0.8957 4.6435
Na Be P
3 1 1
Cartesian
0.5555 -2.6431 0.1941
-2.2984 -0.3817 1.3799
1.3196 0.4478 2.3218
-0.4233 -2.5770 3.8958
0.0000 0.0000 0.0000
```

E above lowest polymorph, eV/atom: 0.000
Formation energy, eV per atom: 0.43

Entry 10:
Na5BeP2: relaxed, PBE.

```
Na5BeP2
1.0
-3.3469 3.1997 1.9497
-0.0780 -4.8418 1.3388
10.4056 3.2822 12.4762
Na P Be
10 4 2
Cartesian
2.4467 2.0030 7.3861
4.5340 -0.3628 8.3787
6.6366 0.3004 10.8996
8.9525 2.8239 10.7339
8.7391 0.9636 13.4206
1.4532 0.4584 1.7423
6.6560 2.0995 7.9804
3.7496 1.1827 4.4958
-1.7584 0.6766 2.3442
0.3441 1.3398 4.8651
6.8182 3.3819 12.6275
2.7050 -0.9397 6.1857
4.2756 2.5799 9.5790
0.1625 -1.7417 3.1373
1.4337 -1.3407 4.6615
5.5469 2.9809 11.1032
```

Formation energy, eV per atom: -0.25

Entry 11:
NaBeP: relaxed, PBE.

```
NaBeP
1.0
-1.0670 1.6590 -4.0479
1.6023 -2.8864 -1.6053
-3.5605 -0.1337 0.8838
Na Be P
1 1 1
Cartesian
-0.8300 -0.8627 -3.4746
-2.0174 -0.7748 -0.6205
-0.1778 0.2764 -0.6744
```

Formation energy, eV per atom: -0.44

Entry 12:
NaBeP: relaxed, PBE.

```
NaBeP
1.0
3.7078 0.0000 0.0000
1.7923 5.0336 0.0000
1.8038 1.9376 6.6095
P Be Na
2 2 2
Cartesian
4.5723 4.5283 1.5029
2.7316 2.4429 5.1066
2.7186 4.9004 0.5551
4.5853 2.0708 6.0544
2.7163 2.3295 2.1665
4.5876 4.6417 4.4430
```

Formation energy, eV per atom: -0.39

Entry 13:
Na3Be2P2: relaxed, PBE.

```
Na3Be2P2
1.0
-5.9089 1.1334 0.1346
-0.3750 -1.1132 -7.0914
-2.1776 -11.5824 1.9334
Na Be P
12 8 8
Cartesian
-1.6361 -5.1015 -3.7990
-2.7298 -2.8370 -1.6269
-2.2051 -7.9395 -4.8795
-7.4255 -9.6516 -0.6917
-5.7318 -8.7252 -3.3965
-4.6836 -3.0548 -5.1324
-2.8050 -11.1305 -4.3469
-5.6566 -0.4317 -0.6765
-6.8255 -6.4607 -1.2244
-6.2566 -3.6227 -0.1439
-3.7780 -8.5074 0.1090
-1.0361 -1.9106 -4.3317
-3.6450 -6.9272 -2.4383
-4.3631 -10.7466 -1.8008
-2.7360 -1.6696 -6.8036
-4.8166 -4.6350 -2.5851
-5.0076 -6.0733 1.1427
-4.0985 -0.8156 -3.2226
-3.4540 -5.4889 -6.1661
-5.7257 -9.8926 1.7802
-2.8442 0.2493 -1.7102
-4.5286 -6.0203 -4.2799
-2.1808 -3.7016 -6.1883
-3.9330 -5.5419 -0.7435
-3.4398 -0.2291 -5.2466
-5.3382 -2.5034 -2.5664
-3.1234 -9.0588 -2.4570
-6.2808 -7.8606 1.1649
```

Formation energy, eV per atom: -0.17

Entry 14:
NaBe3P: relaxed, PBE.

```
NaBe3P
1.0
-3.5062 -2.0384 -1.2928
-1.0442 -0.7745 4.0533
-2.1762 3.6557 0.1379
P Na Be
1 1 3
Cartesian
0.0000 0.0000 0.0000
-3.3633 0.4214 1.4492
-1.7531 -1.0192 -0.6464
-1.0881 1.8279 0.0690
-0.5221 -0.3873 2.0266
```

E above lowest polymorph, eV/atom: 0.000
Formation energy, eV per atom: 0.74

Entry 15:
NaBeP: relaxed, PBE.

```
NaBeP
1.0
-2.2362 -2.5845 1.2748
3.2555 -4.9259 -4.2761
7.3887 -0.5081 6.7122
Na P Be
4 4 4
Cartesian
5.6834 -2.1653 5.5798
2.6888 -2.2059 0.2445
5.7191 -5.8127 3.4664
2.7245 -5.8533 -1.8690
5.2093 -3.0261 3.0027
1.6271 -2.5663 2.8700
3.1987 -4.9924 0.7081
6.7809 -5.4523 0.8409
3.2632 -4.0475 2.7370
3.5718 -1.5312 3.1611
4.8362 -6.4873 0.5498
5.1447 -3.9711 0.9739
```

Formation energy, eV per atom: -0.31

Entry 16:
NaBeP3: relaxed, PBE.

```
NaBeP3
1.0
-0.2676 -3.7323 -2.3172
2.5841 -2.0112 2.9409
-3.5528 -1.1817 2.3137
P Be Na
3 1 1
Cartesian
-1.7764 -0.5908 1.1568
1.2921 -1.0056 1.4705
-0.1338 -1.8662 -1.1586
0.0000 0.0000 0.0000
-0.6181 -3.4626 1.4687
```

E above lowest polymorph, eV/atom: 0.000
Formation energy, eV per atom: 0.43

Entry 17:
NaBe2P: relaxed, PBE.

```
NaBe2P
1.0
6.3672 0.0000 0.0000
0.0000 6.3672 0.0000
3.1836 3.1836 4.3236
P Na Be
2 2 4
Cartesian
6.3672 3.1836 2.1618
0.0000 0.0000 0.0000
3.1836 3.1836 0.0000
3.1836 6.3672 2.1618
4.7754 3.9062 3.2427
7.0898 4.7754 1.0809
5.6446 1.5918 1.0809
7.9590 2.4610 3.2427
```

Formation energy, eV per atom: 0.40

Entry 18:
NaBeP2: relaxed, PBE.

```
NaBeP2
1.0
-2.7942 3.0369 -1.9701
-3.2241 -3.2194 -0.3898
-5.5462 1.6828 5.1531
P Na Be
4 2 2
Cartesian
-3.1425 1.4887 0.2856
-6.8705 0.7404 2.9250
-8.9718 1.5557 1.8549
-4.1444 -0.7842 0.5210
-5.6748 2.3142 1.0016
0.0000 0.0000 0.0000
-5.8898 -0.8139 1.7917
-3.0092 -0.0913 -1.1799
```

Formation energy, eV per atom: -0.10

Entry 19:
NaBeP3: relaxed, PBE.

```
NaBeP3
1.0
4.7716 0.0000 0.0000
0.0000 4.7716 0.0000
0.0000 0.0000 4.7716
P Na Be
3 1 1
Cartesian
2.3858 0.0000 0.0000
0.0000 0.0000 2.3858
0.0000 2.3858 0.0000
0.0000 0.0000 0.0000
2.3858 2.3858 2.3858
```

E above lowest polymorph, eV/atom: 1.396
Formation energy, eV per atom: 1.83

Entry 20:
Na2BeP2Pd: relaxed, PBE.

```
Na2BeP2Pd
1.0
5.6611 0.0000 0.0000
0.0000 5.5811 0.0000
-2.8305 -2.7905 6.6743
Be Na Pd P
2 4 2 4
Cartesian
2.8305 4.1858 0.0000
2.8305 1.3953 0.0000
1.5053 2.7905 4.3197
-1.5053 0.0000 4.3197
1.3252 0.0000 2.3546
4.3358 2.7905 2.3546
0.0000 4.1858 0.0000
0.0000 1.3953 0.0000
1.5893 2.7905 1.2722
-1.2412 2.7905 5.4021
1.2412 0.0000 5.4021
4.0717 0.0000 1.2722
```

Formation energy, eV per atom: -0.38